# CoSbOsCl2 | the Alexandria database | PBE | relaxed
# D(E_F) ... 5.2765 states/eV per atom
# Energy relative to the elements, uncorrected ... 1458 meV/atom
data_CoSbOsCl2
_cell_length_a 5.2356
_cell_length_b 5.2356
_cell_length_c 5.1423
_cell_angle_alpha 90.00
_cell_angle_beta 90.00
_cell_angle_gamma 90.00
_symmetry_space_group_name_H-M 'P 4/m m m'
_symmetry_Int_Tables_number 123
_symmetry_space_group_name_Hall '-P 4 2'
loop_
_atom_site_label
_atom_site_fract_x
_atom_site_fract_y
_atom_site_fract_z
Co1 0.0000 0.0000 0.0000
Sb1 0.5000 0.5000 0.5000
Os1 0.5000 0.5000 0.0000
Cl1 0.0000 0.5000 0.5000